## K2LaSiN (PBE)

Data for a relaxed K2LaSiN crystal.

Summary:
Formation energy (no corrections) = 0.0756 eV per atom

```
K2LaSiN
1.0
-4.500 0.914 -3.270
2.343 -1.390 -3.612
-1.735 -5.286 0.909
K N Si La
2 1 1 1
direct
0.000 0.000 0.500
0.500 0.000 0.000
0.000 0.000 0.000
0.500 0.500 0.500
0.000 0.500 0.000
```



## SmYGaAg (PBE)

Data for a relaxed SmYGaAg crystal.

```
SmYGaAg
1.0
5.175 0.000 0.000
2.587 4.482 0.000
2.587 1.494 4.225
Y Ga Ag Sm
1 1 1 1
direct
0.000 0.000 0.000
0.250 0.250 0.250
0.750 0.750 0.750
0.500 0.500 0.500
```



## YCrSe2 (PBE)

Data for a relaxed YCrSe2 crystal.

Summary:
Formation energy (no corrections) = -0.9466 eV per atom
E above lowest polymorph = 104 meV per atom

```
YCrSe2
1.0
-0.516 -3.234 -6.167
-0.041 -6.647 -2.138
-2.360 4.880 4.401
Cr Se Y
1 2 1
direct
0.271 0.771 0.500
0.959 0.959 0.000
0.721 0.221 0.500
0.548 0.548 0.000
```



Raw total energy? In order: -20.49 -18.87 -26.84 eV/cell.